P) This record from Alexandria describes a PBEsol-optimized structure of Ba2TlAu. The functional is meta-GGA SCAN.

N(E_F): 3.7 states/eV per cell
Magnetization: 0.00 μB per cell
Space group: P4/mmm (123)

Cell lengths 3.981, 3.981, 8.446 Å; angles 90.00, 90.00, 90.00 degrees
Atoms (fractional coordinates):
Ba  0.000  0.000  0.729
Ba  0.000  0.000  0.271
Au  0.500  0.500  0.500
Tl  0.500  0.500  0.000

=====

Q) This record from Alexandria describes a PBEsol-optimized structure of Ba2TlAu. The functional is meta-GGA SCAN.

N(E_F): 3.1 states/eV per cell
Magnetization: 0.00 μB per cell
Space group: Fm-3m (225)

Cell lengths 5.741, 5.741, 5.741 Å; angles 60.00, 60.00, 60.00 degrees
Atoms (fractional coordinates):
Au  0.000  0.000  0.000
Ba  0.250  0.250  0.250
Ba  0.750  0.750  0.750
Tl  0.500  0.500  0.500

=====

R) This record from Alexandria describes a PBEsol-optimized structure of Ba2TlAu. The functional is meta-GGA SCAN.

N(E_F): 2.4 states/eV per cell
Magnetization: 0.00 μB per cell
Space group: P4mm (99)

Cell lengths 4.678, 4.678, 7.068 Å; angles 90.00, 90.00, 90.00 degrees
Atoms (fractional coordinates):
Ba  0.500  0.500  0.320
Ba  0.000  0.000  0.909
Tl  0.000  0.000  0.442
Au  0.500  0.500  0.829

=====

Which structure loses on stability? R) does.

=====

P) This record from Alexandria describes a PBEsol-optimized structure of Ba2YAu. The functional is meta-GGA SCAN.

N(E_F): 5.3 states/eV per cell
Magnetization: 0.00 μB per cell
Space group: Fm-3m (225)

Cell lengths 5.786, 5.786, 5.786 Å; angles 60.00, 60.00, 60.00 degrees
Atoms (fractional coordinates):
Ba  0.750  0.750  0.750
Ba  0.250  0.250  0.250
Y  0.500  0.500  0.500
Au  0.000  0.000  0.000

=====

Q) This record from Alexandria describes a PBEsol-optimized structure of Ba2YAu. The functional is meta-GGA SCAN.

N(E_F): 5.8 states/eV per cell
Magnetization: 0.00 μB per cell
Space group: I4/mmm (139)

Cell lengths 4.725, 4.725, 6.575 Å; angles 111.06, 111.06, 90.00 degrees
Atoms (fractional coordinates):
Y  0.500  0.500  0.000
Ba  0.750  0.250  0.500
Ba  0.250  0.750  0.500
Au  0.000  0.000  0.000

=====

Which structure loses on stability? P) does.

=====

P) This record from Alexandria describes a PBEsol-optimized structure of Ba3YAu. The functional is meta-GGA SCAN.

N(E_F): 4.4 states/eV per cell
Magnetization: 0.00 μB per cell
Space group: Pm-3m (221)

Cell lengths 6.163, 6.163, 6.163 Å; angles 90.00, 90.00, 90.00 degrees
Atoms (fractional coordinates):
Ba  0.000  0.000  0.500
Ba  0.500  0.000  0.000
Ba  0.000  0.500  0.000
Au  0.500  0.500  0.500
Y  0.000  0.000  0.000

=====

Q) This record from Alexandria describes a PBEsol-optimized structure of Ba3YAu. The functional is meta-GGA SCAN.

N(E_F): 6.5 states/eV per cell
Magnetization: 0.88 μB per cell
Space group: Pm-3m (221)

Cell lengths 6.232, 6.232, 6.232 Å; angles 90.00, 90.00, 90.00 degrees
Each line ends with the local moment (μB).
Atoms (fractional coordinates):
Au  0.000  0.000  0.000  0.01
Ba  0.000  0.000  0.500  0.03
Ba  0.000  0.500  0.000  0.03
Ba  0.500  0.000  0.000  0.03
Y  0.500  0.500  0.500  0.32

=====

Which structure loses on stability? P) does.

=====

P) This record from Alexandria describes a PBEsol-optimized structure of BeAu5. The functional is meta-GGA SCAN.

N(E_F): 1.8 states/eV per cell
Magnetization: 0.00 μB per cell
Space group: Cm (8)

Cell lengths 2.935, 5.156, 6.999 Å; angles 111.58, 90.00, 106.54 degrees
Atoms (fractional coordinates):
Be  0.695  0.389  0.890
Au  0.016  0.033  0.584
Au  0.695  0.389  0.389
Au  0.373  0.745  0.193
Au  0.325  0.651  0.753
Au  0.063  0.126  0.024

=====

Q) This record from Alexandria describes a PBEsol-optimized structure of BeAu5. The functional is meta-GGA SCAN.

N(E_F): 1.1 states/eV per cell
Magnetization: 0.00 μB per cell
Space group: P4/mmm (123)

Cell lengths 2.865, 2.865, 11.309 Å; angles 90.00, 90.00, 90.00 degrees
Atoms (fractional coordinates):
Au  0.000  0.000  0.500
Au  0.500  0.500  0.316
Au  0.000  0.000  0.872
Au  0.500  0.500  0.684
Au  0.000  0.000  0.128
Be  0.500  0.500  0.000

=====

Which structure loses on stability? P) does.